Model one:
First-principles (PBE) data for a relaxed structure of La8TlSn2, as listed in Alexandria.

Properties
As for the space group: No. 71. For the density of states at the Fermi level, the calculation gives 14.0 states/eV/cell.

abc: 9.8867 9.8867 9.8867
angles: 148.13 134.49 56.63
Element x y z (fractional)
La 0.1234 0.3546 0.7689
La 0.1900 0.1900 0.0000
La 0.2962 0.0000 0.2962
La 0.4143 0.6454 0.7689
La 0.5857 0.3546 0.2311
La 0.7038 0.0000 0.7038
La 0.8100 0.8100 0.0000
La 0.8766 0.6454 0.2311
Tl 0.0000 0.5000 0.5000
Sn 0.3102 0.8102 0.5000
Sn 0.6898 0.1898 0.5000

---

Model two:
First-principles (PBE) data for a relaxed structure of La8TlSn2, as listed in Alexandria.

Properties
As for the space group: No. 12. For the density of states at the Fermi level, the calculation gives 13.5 states/eV/cell.

abc: 8.8393 8.8393 6.0915
angles: 103.80 103.80 117.54
Element x y z (fractional)
La 0.0822 0.3031 0.5657
La 0.2253 0.7747 0.0000
La 0.3031 0.0822 0.5657
La 0.4011 0.4011 0.1957
La 0.5989 0.5989 0.8043
La 0.6969 0.9178 0.4343
La 0.7747 0.2253 0.0000
La 0.9178 0.6969 0.4343
Tl 0.0000 0.0000 0.0000
Sn 0.3047 0.6953 0.5000
Sn 0.6953 0.3047 0.5000

---

Of them, model one has the highest stability.

---

Model one:
First-principles (PBE) data for a relaxed structure of La2TmSn2, as listed in Alexandria.

Properties
As for the space group: No. 63. For the density of states at the Fermi level, the calculation gives 7.4 states/eV/cell.

abc: 9.6626 9.6626 6.6571
angles: 90.00 90.00 148.95
Element x y z (fractional)
La 0.0000 0.0000 0.0000
La 0.0000 0.0000 0.5000
La 0.1964 0.8036 0.7500
La 0.8036 0.1964 0.2500
Tm 0.3992 0.6008 0.7500
Tm 0.6008 0.3992 0.2500
Sn 0.1815 0.8185 0.2500
Sn 0.4241 0.5759 0.2500
Sn 0.5759 0.4241 0.7500
Sn 0.8185 0.1815 0.7500

---

Model two:
First-principles (PBE) data for a relaxed structure of La2TmSn2, as listed in Alexandria.

Properties
As for the space group: No. 127. For the density of states at the Fermi level, the calculation gives 8.8 states/eV/cell.

abc: 8.1574 8.1574 4.7369
angles: 90.00 90.00 90.00
Element x y z (fractional)
La 0.1723 0.3277 0.0000
La 0.3277 0.8277 0.0000
La 0.6723 0.1723 0.0000
La 0.8277 0.6723 0.0000
Tm 0.0000 0.0000 0.5000
Tm 0.5000 0.5000 0.5000
Sn 0.1304 0.6304 0.5000
Sn 0.3696 0.1304 0.5000
Sn 0.6304 0.8696 0.5000
Sn 0.8696 0.3696 0.5000

---

Of them, model two has the highest stability.

---

Model one:
First-principles (PBE) data for a relaxed structure of LaTm2Sn, as listed in Alexandria.

Properties
As for the space group: No. 123. For the density of states at the Fermi level, the calculation gives 5.9 states/eV/cell.

abc: 4.8961 4.8961 4.7803
angles: 90.00 90.00 90.00
Element x y z (fractional)
La 0.0000 0.0000 0.0000
Tm 0.0000 0.5000 0.5000
Tm 0.5000 0.0000 0.5000
Sn 0.5000 0.5000 0.0000

---

Model two:
First-principles (PBE) data for a relaxed structure of LaTm2Sn, as listed in Alexandria.

Properties
As for the space group: No. 160. For the density of states at the Fermi level, the calculation gives 4.9 states/eV/cell.

abc: 6.3556 6.3556 6.3556
angles: 47.93 47.93 47.93
Element x y z (fractional)
La 0.0000 0.0000 0.0000
Tm 0.5506 0.5506 0.5506
Tm 0.7826 0.7826 0.7826
Sn 0.2059 0.2059 0.2059

---

Of them, model one has the highest stability.

---

Model one:
First-principles (PBE) data for a relaxed structure of LaTm2Sn, as listed in Alexandria.

Properties
As for the space group: No. 63. For the density of states at the Fermi level, the calculation gives 9.4 states/eV/cell.

abc: 11.4799 11.4799 4.7727
angles: 90.00 90.00 156.49
Element x y z (fractional)
La 0.1931 0.8069 0.7500
La 0.8069 0.1931 0.2500
Tm 0.0552 0.9448 0.2500
Tm 0.4376 0.5624 0.2500
Tm 0.5624 0.4376 0.7500
Tm 0.9448 0.0552 0.7500
Sn 0.3417 0.6583 0.7500
Sn 0.6583 0.3417 0.2500

---

Model two:
First-principles (PBE) data for a relaxed structure of LaTm2Sn, as listed in Alexandria.

Properties
As for the space group: No. 63. For the density of states at the Fermi level, the calculation gives 10.4 states/eV/cell.

abc: 6.5983 6.5983 9.3406
angles: 90.00 90.00 141.61
Element x y z (fractional)
La 0.0547 0.9453 0.7500
La 0.9453 0.0547 0.2500
Tm 0.3607 0.6393 0.5483
Tm 0.3607 0.6393 0.9517
Tm 0.6393 0.3607 0.0483
Tm 0.6393 0.3607 0.4517
Sn 0.2394 0.7606 0.2500
Sn 0.7606 0.2394 0.7500

---

Model three:
First-principles (PBE) data for a relaxed structure of LaTm2Sn, as listed in Alexandria.

Properties
As for the space group: No. 123. For the density of states at the Fermi level, the calculation gives 4.8 states/eV/cell.

abc: 3.7711 3.7711 8.4089
angles: 90.00 90.00 90.00
Element x y z (fractional)
La 0.0000 0.0000 0.0000
Tm 0.5000 0.5000 0.2886
Tm 0.5000 0.5000 0.7114
Sn 0.0000 0.0000 0.5000

---

Of them, model one has the highest stability.

---

Model one:
First-principles (PBE) data for a relaxed structure of LaVSn2, as listed in Alexandria.

Properties
As for the space group: No. 225. For the density of states at the Fermi level, the calculation gives 1.7 states/eV/cell.

abc: 5.2075 5.2075 5.2075
angles: 60.00 60.00 60.00
Element x y z (fractional)
La 0.0000 0.0000 0.0000
V 0.5000 0.5000 0.5000
Sn 0.2500 0.2500 0.2500
Sn 0.7500 0.7500 0.7500

---

Model two:
First-principles (PBE) data for a relaxed structure of LaVSn2, as listed in Alexandria.

Properties
As for the space group: No. 166. For the density of states at the Fermi level, the calculation gives 4.6 states/eV/cell.

abc: 11.2513 11.2513 11.2513
angles: 16.40 16.40 16.40
Element x y z (fractional)
La 0.0000 0.0000 0.0000
V 0.5000 0.5000 0.5000
Sn 0.1002 0.1002 0.1002
Sn 0.8998 0.8998 0.8998

---

Model three:
First-principles (PBE) data for a relaxed structure of LaVSn2, as listed in Alexandria.

Properties
As for the space group: No. 122. For the density of states at the Fermi level, the calculation gives 5.6 states/eV/cell.

abc: 10.0104 10.0104 10.0104
angles: 150.19 150.19 42.66
Element x y z (fractional)
La 0.0000 0.0000 0.0000
La 0.7500 0.2500 0.5000
V 0.2500 0.7500 0.5000
V 0.5000 0.5000 0.0000
Sn 0.2409 0.6250 0.1159
Sn 0.3750 0.4909 0.6159
Sn 0.5091 0.1250 0.8841
Sn 0.8750 0.7591 0.3841

---

Of them, model one has the highest stability.

---

Model one:
First-principles (PBE) data for a relaxed structure of LaV2Sn2, as listed in Alexandria.

Properties
As for the space group: No. 139. For the density of states at the Fermi level, the calculation gives 4.4 states/eV/cell.

abc: 5.9791 5.9791 5.9791
angles: 132.39 132.39 69.61
Element x y z (fractional)
La 0.0000 0.0000 0.0000
V 0.4054 0.4054 0.0000
V 0.5946 0.5946 0.0000
Sn 0.2500 0.7500 0.5000
Sn 0.7500 0.2500 0.5000

---

Model two:
First-principles (PBE) data for a relaxed structure of LaV2Sn2, as listed in Alexandria.

Properties
As for the space group: No. 139. For the density of states at the Fermi level, the calculation gives 3.3 states/eV/cell.

abc: 7.0876 7.0876 7.0876
angles: 145.68 145.68 49.32
Element x y z (fractional)
La 0.0000 0.0000 0.0000
V 0.2500 0.7500 0.5000
V 0.7500 0.2500 0.5000
Sn 0.3842 0.3842 0.0000
Sn 0.6158 0.6158 0.0000

---

Of them, model two has the highest stability.

---

Model one:
First-principles (PBE) data for a relaxed structure of LaV3Sn, as listed in Alexandria.

Properties
As for the space group: No. 221. For the density of states at the Fermi level, the calculation gives 4.5 states/eV/cell.

abc: 5.1036 5.1036 5.1036
angles: 90.00 90.00 90.00
Element x y z (fractional)
La 0.0000 0.0000 0.0000
V 0.0000 0.5000 0.5000
V 0.5000 0.0000 0.5000
V 0.5000 0.5000 0.0000
Sn 0.5000 0.5000 0.5000

---

Model two:
First-principles (PBE) data for a relaxed structure of LaV3Sn, as listed in Alexandria.

Properties
As for the space group: No. 221. For the density of states at the Fermi level, the calculation gives 8.4 states/eV/cell.

abc: 4.6560 4.6560 4.6560
angles: 90.00 90.00 90.00
Element x y z (fractional)
La 0.0000 0.0000 0.0000
V 0.0000 0.0000 0.5000
V 0.0000 0.5000 0.0000
V 0.5000 0.0000 0.0000
Sn 0.5000 0.5000 0.5000

---

Of them, model one has the highest stability.

---

Model one:
First-principles (PBE) data for a relaxed structure of LaSn3W, as listed in Alexandria.

Properties
As for the space group: No. 221. For the density of states at the Fermi level, the calculation gives 21.0 states/eV/cell.

abc: 5.7416 5.7416 5.7416
angles: 90.00 90.00 90.00
Element x y z (fractional)
La 0.0000 0.0000 0.0000
Sn 0.0000 0.0000 0.5000
Sn 0.0000 0.5000 0.0000
Sn 0.5000 0.0000 0.0000
W 0.5000 0.5000 0.5000

---

Model two:
First-principles (PBE) data for a relaxed structure of LaSn3W, as listed in Alexandria.

Properties
As for the space group: No. 221. For the density of states at the Fermi level, the calculation gives 3.5 states/eV/cell.

abc: 5.2667 5.2667 5.2667
angles: 90.00 90.00 90.00
Element x y z (fractional)
La 0.0000 0.0000 0.0000
Sn 0.0000 0.5000 0.5000
Sn 0.5000 0.0000 0.5000
Sn 0.5000 0.5000 0.0000
W 0.5000 0.5000 0.5000

---

Of them, model two has the highest stability.

---

Model one:
First-principles (PBE) data for a relaxed structure of LaY2Sn2, as listed in Alexandria.

Properties
As for the space group: No. 127. For the density of states at the Fermi level, the calculation gives 11.1 states/eV/cell.

abc: 8.9561 8.9561 3.7333
angles: 90.00 90.00 90.00
Element x y z (fractional)
La 0.0000 0.0000 0.0000
La 0.5000 0.5000 0.0000
Y 0.1446 0.3554 0.5000
Y 0.3554 0.8554 0.5000
Y 0.6446 0.1446 0.5000
Y 0.8554 0.6446 0.5000
Sn 0.1543 0.6543 0.0000
Sn 0.3457 0.1543 0.0000
Sn 0.6543 0.8457 0.0000
Sn 0.8457 0.3457 0.0000

---

Model two:
First-principles (PBE) data for a relaxed structure of LaY2Sn2, as listed in Alexandria.

Properties
As for the space group: No. 11. For the density of states at the Fermi level, the calculation gives 11.4 states/eV/cell.

abc: 5.7033 4.2073 13.1462
angles: 90.00 96.72 90.00
Element x y z (fractional)
La 0.1938 0.2500 0.2452
La 0.8062 0.7500 0.7548
Y 0.2445 0.7500 0.4730
Y 0.3333 0.2500 0.8917
Y 0.6667 0.7500 0.1083
Y 0.7555 0.2500 0.5270
Sn 0.1630 0.7500 0.0444
Sn 0.2879 0.2500 0.6580
Sn 0.7121 0.7500 0.3420
Sn 0.8370 0.2500 0.9556

---

Of them, model one has the highest stability.

---

Model one:
First-principles (PBE) data for a relaxed structure of La2YSn2, as listed in Alexandria.

Properties
As for the space group: No. 127. For the density of states at the Fermi level, the calculation gives 7.1 states/eV/cell.

abc: 9.2054 9.2054 3.7006
angles: 90.00 90.00 90.00
Element x y z (fractional)
La 0.1190 0.3810 0.0000
La 0.3810 0.8810 0.0000
La 0.6190 0.1190 0.0000
La 0.8810 0.6190 0.0000
Y 0.0000 0.0000 0.0000
Y 0.5000 0.5000 0.0000
Sn 0.1799 0.6799 0.5000
Sn 0.3201 0.1799 0.5000
Sn 0.6799 0.8201 0.5000
Sn 0.8201 0.3201 0.5000

---

Model two:
First-principles (PBE) data for a relaxed structure of La2YSn2, as listed in Alexandria.

Properties
As for the space group: No. 127. For the density of states at the Fermi level, the calculation gives 13.5 states/eV/cell.

abc: 8.2230 8.2230 4.7243
angles: 90.00 90.00 90.00
Element x y z (fractional)
La 0.1722 0.3278 0.0000
La 0.3278 0.8278 0.0000
La 0.6722 0.1722 0.0000
La 0.8278 0.6722 0.0000
Y 0.0000 0.0000 0.5000
Y 0.5000 0.5000 0.5000
Sn 0.1295 0.6295 0.5000
Sn 0.3705 0.1295 0.5000
Sn 0.6295 0.8705 0.5000
Sn 0.8705 0.3705 0.5000

---

Of them, model two has the highest stability.

---

Model one:
First-principles (PBE) data for a relaxed structure of Sr2La, as listed in Alexandria.

Properties
As for the space group: No. 63. For the density of states at the Fermi level, the calculation gives 10.7 states/eV/cell.

abc: 10.9478 10.9478 6.6186
angles: 90.00 90.00 159.25
Element x y z (fractional)
Sr 0.0520 0.9480 0.7500
Sr 0.2797 0.7203 0.2500
Sr 0.7203 0.2797 0.7500
Sr 0.9480 0.0520 0.2500
La 0.3869 0.6131 0.7500
La 0.6131 0.3869 0.2500

---

Model two:
First-principles (PBE) data for a relaxed structure of Sr2La, as listed in Alexandria.

Properties
As for the space group: No. 71. For the density of states at the Fermi level, the calculation gives 5.2 states/eV/cell.

abc: 7.0372 7.0372 7.0372
angles: 147.57 130.25 60.65
Element x y z (fractional)
Sr 0.1626 0.1626 0.0000
Sr 0.8374 0.8374 0.0000
La 0.5000 0.5000 0.0000

---

Of them, model one has the highest stability.